Entry 1:
VASP calculation (PBE) on a relaxed structure of TeHRhI2.

```
data_TeHRhI2
_chemical_formula_sum 'Te1 H1 Rh1 I2'
_symmetry_space_group_name_H-M 'P 4/m m m'
_symmetry_Int_Tables_number 123
_symmetry_space_group_name_Hall '-P 4 2'
_cell_length_a 5.5493
_cell_length_b 5.5493
_cell_length_c 3.7890
_cell_angle_alpha 90.00
_cell_angle_beta 90.00
_cell_angle_gamma 90.00
loop_
_atom_site_label
_atom_site_type_symbol
_atom_site_fract_x
_atom_site_fract_y
_atom_site_fract_z
Te1 Te 0.0000 0.0000 0.0000
H1 H 0.0000 0.0000 0.5000
Rh1 Rh 0.5000 0.5000 0.0000
I1 I 0.0000 0.5000 0.5000
```

## Properties
Calculated volume ... 23.34 Å³/atom
E above lowest polymorph ... 255 meV/atom

=====

Entry 2:
VASP calculation (PBE) on a relaxed structure of TlH2RhI.

```
data_TlH2RhI
_chemical_formula_sum 'Tl1 H2 Rh1 I1'
_symmetry_space_group_name_H-M 'P 4/m m m'
_symmetry_Int_Tables_number 123
_symmetry_space_group_name_Hall '-P 4 2'
_cell_length_a 4.2725
_cell_length_b 4.2725
_cell_length_c 5.2525
_cell_angle_alpha 90.00
_cell_angle_beta 90.00
_cell_angle_gamma 90.00
loop_
_atom_site_label
_atom_site_type_symbol
_atom_site_fract_x
_atom_site_fract_y
_atom_site_fract_z
Tl1 Tl 0.0000 0.0000 0.0000
H1 H 0.0000 0.5000 0.5000
Rh1 Rh 0.5000 0.5000 0.5000
I1 I 0.5000 0.5000 0.0000
```

## Properties
Calculated volume ... 19.18 Å³/atom
DFT total energy ... -3.146 eV/atom

=====

Entry 3:
VASP calculation (PBE) on a relaxed structure of HRuI3.

```
data_HRuI3
_chemical_formula_sum 'H1 Ru1 I3'
_symmetry_space_group_name_H-M 'P m -3 m'
_symmetry_Int_Tables_number 221
_symmetry_space_group_name_Hall '-P 4 2 3'
_cell_length_a 4.8514
_cell_length_b 4.8514
_cell_length_c 4.8514
_cell_angle_alpha 90.00
_cell_angle_beta 90.00
_cell_angle_gamma 90.00
loop_
_atom_site_label
_atom_site_type_symbol
_atom_site_fract_x
_atom_site_fract_y
_atom_site_fract_z
H1 H 0.0000 0.0000 0.0000
Ru1 Ru 0.5000 0.5000 0.5000
I1 I 0.0000 0.0000 0.5000
```

## Properties
Calculated volume ... 22.84 Å³/atom
E above lowest polymorph ... 699 meV/atom

=====

Repeat the second record exactly.
VASP calculation (PBE) on a relaxed structure of TlH2RhI.

```
data_TlH2RhI
_chemical_formula_sum 'Tl1 H2 Rh1 I1'
_symmetry_space_group_name_H-M 'P 4/m m m'
_symmetry_Int_Tables_number 123
_symmetry_space_group_name_Hall '-P 4 2'
_cell_length_a 4.2725
_cell_length_b 4.2725
_cell_length_c 5.2525
_cell_angle_alpha 90.00
_cell_angle_beta 90.00
_cell_angle_gamma 90.00
loop_
_atom_site_label
_atom_site_type_symbol
_atom_site_fract_x
_atom_site_fract_y
_atom_site_fract_z
Tl1 Tl 0.0000 0.0000 0.0000
H1 H 0.0000 0.5000 0.5000
Rh1 Rh 0.5000 0.5000 0.5000
I1 I 0.5000 0.5000 0.0000
```

## Properties
Calculated volume ... 19.18 Å³/atom
DFT total energy ... -3.146 eV/atom

=====

Question: The lowest calculated volume belongs to which entry?
Answer: TlH2RhI

=====

Question: Which value of calculated volume does entry 1 give?
Answer: 23.34 Å³/atom

=====

Question: Among the records above, which one has the lowest calculated volume?
Answer: TlH2RhI